Entry 1:
Tb2YTa: optimized geometry, PBE.

Computed properties:
The formation enthalpy at 0 K is 0.62 eV/atom.

Unit cell a=3.2870 b=3.2870 c=35.1174 alpha=90.00 beta=90.00 gamma=120.00
Space group R-3m (No. 166, hexagonal axes)
Asymmetric unit:
Tb 0.0000 0.0000 0.0832 (multiplicity 6)
Y 0.0000 0.0000 0.5000 (multiplicity 3)
Ta 0.0000 0.0000 0.0000 (multiplicity 3)



Entry 2:
RbHfGa2O6: optimized geometry, PBE.

Unit cell a=9.271 b=12.439 c=6.549 alpha=90.00 beta=112.99 gamma=90.00
Space group C2/c (No. 15)
Asymmetric unit:
Rb 0.000 0.103 0.250 (multiplicity 4)
Hf 0.000 0.200 0.750 (multiplicity 4)
Ga 0.126 0.419 0.138 (multiplicity 8)
O 0.065 0.283 0.021 (multiplicity 8)
O 0.103 0.468 0.415 (multiplicity 8)
O 0.157 0.096 0.739 (multiplicity 8)



Entry 3:
K2UGeS6: optimized geometry, PBE.

Unit cell a=7.0425 b=7.0425 c=16.9527 alpha=90.00 beta=90.00 gamma=120.00
Space group R-3 (No. 148, hexagonal axes)
Asymmetric unit:
K 0.0000 0.0000 0.2488 (multiplicity 6)
U 0.0000 0.0000 0.5000 (multiplicity 3)
Ge 0.0000 0.0000 0.0000 (multiplicity 3)
S 0.0052 0.4556 0.7480 (multiplicity 18)



Entry 4:
Na2Ga2GeAu5: optimized geometry, PBE.

Computed properties:
The formation enthalpy at 0 K is -0.24 eV/atom.

Unit cell a=10.872 b=10.872 c=3.374 alpha=90.00 beta=90.00 gamma=90.00
Space group P4/mbm (No. 127)
Asymmetric unit:
Na 0.172 0.328 0.000 (multiplicity 4)
Ga 0.133 0.633 0.000 (multiplicity 4)
Ge 0.000 0.000 0.000 (multiplicity 2)
Au 0.000 0.500 0.500 (multiplicity 2)
Au 0.063 0.808 0.500 (multiplicity 8)



Entry 5:
MgSn2Ge2Rh5: optimized geometry, PBE.

Computed properties:
The formation enthalpy at 0 K is -0.27 eV/atom.

Unit cell a=9.748 b=9.748 c=3.546 alpha=90.00 beta=90.00 gamma=90.00
Space group P4/mbm (No. 127)
Asymmetric unit:
Mg 0.000 0.000 0.000 (multiplicity 2)
Sn 0.175 0.325 0.000 (multiplicity 4)
Ge 0.126 0.626 0.000 (multiplicity 4)
Rh 0.000 0.500 0.500 (multiplicity 2)
Rh 0.084 0.798 0.500 (multiplicity 8)



Entry 6:
Ti2CuAu4: optimized geometry, PBE.

Computed properties:
The formation enthalpy at 0 K is -0.13 eV/atom.

Unit cell a=6.764 b=5.261 c=7.577 alpha=90.00 beta=115.51 gamma=90.00
Space group P2_1/m (No. 11)
Asymmetric unit:
Ti 0.067 0.250 0.444 (multiplicity 2)
Ti 0.211 0.750 0.016 (multiplicity 2)
Cu 0.035 0.250 0.791 (multiplicity 2)
Au 0.227 0.250 0.177 (multiplicity 2)
Au 0.367 0.501 0.780 (multiplicity 4)
Au 0.382 0.750 0.425 (multiplicity 2)



Number 1: DFT total energy -6.2750 eV/atom. Number 2: DFT total energy -6.7098 eV/atom. Number 3: DFT total energy -5.1262 eV/atom. Number 4: DFT total energy -3.2130 eV/atom. Number 5: DFT total energy -5.8261 eV/atom. Number 6: DFT total energy -4.8465 eV/atom.